# Pu3Ga7Cu2

A relaxed Pu3Ga7Cu2 crystal (GGA-PBE, the Alexandria database).

Cell lengths 10.7620, 10.7620, 10.7620 Å; angles 28.98, 28.98, 28.98 degrees
Fractional positions:
Pu 0.0000 0.0000 0.0000
Pu 0.1651 0.1651 0.1651
Pu 0.8349 0.8349 0.8349
Ga 0.0896 0.0896 0.5790
Ga 0.0896 0.5790 0.0896
Ga 0.4210 0.9104 0.9104
Ga 0.5000 0.5000 0.5000
Ga 0.5790 0.0896 0.0896
Ga 0.9104 0.4210 0.9104
Ga 0.9104 0.9104 0.4210
Cu 0.3211 0.3211 0.3211
Cu 0.6789 0.6789 0.6789

## Properties
crystal system	trigonal
VASP energy	-5.960	eV per atom
calculated density	8.6	Mg/m³
energy of formation	0.071	eV per atom